(1)
Computed, not measured: crystalline ZrNbRhAu2 at its relaxed geometry at the PBE level of DFT.

Output
ΔH_f (0 K): 1.277 eV/atom
uncorrected energy: -5.2283 eV/atom
SG: P4/mmm (123)

```
ZrNbRhAu2
1.0
-4.157 2.046 1.998
1.723 -0.853 4.456
2.230 4.526 0.004
Au Zr Nb Rh
2 1 1 1
Cartesian
1.115 2.263 0.002
-2.078 1.023 0.999
0.861 -0.426 2.228
0.000 0.000 0.000
-0.102 2.859 3.229
```

(2)
Computed, not measured: crystalline Nb2Ru2Au at its relaxed geometry at the PBE level of DFT.

Output
energy above the most stable polymorph in this dataset: 177.6 meV per atom
ΔH_f (0 K): 0.044 eV/atom
uncorrected energy: -8.3496 eV/atom
SG: C2/m (12)

```
Nb2Ru2Au
1.0
-2.647 0.619 -3.590
-6.352 0.147 4.709
3.948 4.650 0.715
Au Nb Ru
2 4 4
Cartesian
-6.749 0.574 0.839
-2.250 0.192 0.280
-2.598 3.500 3.932
-2.454 1.915 -2.098
-0.746 3.737 -0.219
-4.305 1.679 2.053
-0.441 3.566 2.351
-4.610 1.850 -0.517
-4.939 3.949 2.912
-0.112 1.467 -1.078
```

(3)
Computed, not measured: crystalline Nb5Ru6Au at its relaxed geometry at the PBE level of DFT.

Output
ΔH_f (0 K): -0.189 eV/atom
uncorrected energy: -9.2958 eV/atom
SG: Immm (71)

```
Nb5Ru6Au
1.0
-3.258 2.847 0.738
-3.215 -6.895 -0.651
4.997 0.856 5.710
Ru Nb Au
6 5 1
Cartesian
0.561 -3.733 3.825
-2.483 -3.659 3.151
1.006 0.466 2.645
-2.037 0.541 1.972
0.324 -1.010 5.325
-1.800 -2.183 0.472
-3.613 -4.309 0.672
2.339 -1.653 3.651
2.136 1.117 5.124
-0.557 -4.386 1.408
-0.738 -1.596 2.898
0.000 0.000 0.000
```

(4)
Computed, not measured: crystalline Nb2Ru2Au at its relaxed geometry at the PBE level of DFT.

Output
energy above the most stable polymorph in this dataset: 413.4 meV per atom
ΔH_f (0 K): 0.280 eV/atom
uncorrected energy: -8.1138 eV/atom
SG: I4/mmm (139)

```
Nb2Ru2Au
1.0
3.798 0.000 0.000
0.000 3.798 0.000
1.899 1.899 6.476
Ru Nb Au
2 2 1
Cartesian
3.798 1.899 3.238
1.899 3.798 3.238
3.798 3.798 4.981
1.899 1.899 1.495
0.000 0.000 0.000
```

(5)
Computed, not measured: crystalline Nb3RuAu at its relaxed geometry at the PBE level of DFT.

Output
energy above the most stable polymorph in this dataset: 997.8 meV per atom
ΔH_f (0 K): 1.911 eV/atom
uncorrected energy: -6.6414 eV/atom
SG: Pm-3m (221)

```
Nb3RuAu
1.0
4.884 0.000 0.000
0.000 4.884 0.000
0.000 0.000 4.884
Au Nb Ru
1 3 1
Cartesian
0.000 0.000 0.000
0.000 0.000 2.442
0.000 2.442 0.000
2.442 0.000 0.000
2.442 2.442 2.442
```

(6)
Computed, not measured: crystalline NbRuAu2 at its relaxed geometry at the PBE level of DFT.

Output
ΔH_f (0 K): 0.249 eV/atom
uncorrected energy: -6.2262 eV/atom
SG: Fm-3m (225)

```
NbRuAu2
1.0
0.000 3.239 3.239
3.239 0.000 3.239
3.239 3.239 0.000
Au Nb Ru
2 1 1
Cartesian
4.858 4.858 4.858
1.619 1.619 1.619
0.000 0.000 0.000
3.239 3.239 3.239
```

(7)
Computed, not measured: crystalline NbRu2Au at its relaxed geometry at the PBE level of DFT.

Output
energy above the most stable polymorph in this dataset: 192.5 meV per atom
ΔH_f (0 K): 0.095 eV/atom
uncorrected energy: -7.8801 eV/atom
SG: Fm-3m (225)

```
NbRu2Au
1.0
0.000 3.171 3.171
3.171 0.000 3.171
3.171 3.171 0.000
Au Ru Nb
1 2 1
Cartesian
3.171 3.171 3.171
4.756 4.756 4.756
1.585 1.585 1.585
0.000 0.000 0.000
```

(8)
Computed, not measured: crystalline NbRuAu3 at its relaxed geometry at the PBE level of DFT.

Output
energy above the most stable polymorph in this dataset: 0.0 meV per atom
ΔH_f (0 K): 1.539 eV/atom
uncorrected energy: -4.2967 eV/atom
SG: Pm-3m (221)

```
NbRuAu3
1.0
4.922 0.000 0.000
0.000 4.922 0.000
0.000 0.000 4.922
Ru Au Nb
1 3 1
Cartesian
0.000 0.000 0.000
2.461 0.000 0.000
0.000 2.461 0.000
0.000 0.000 2.461
2.461 2.461 2.461
```

(9)
Computed, not measured: crystalline Nb3RuAu at its relaxed geometry at the PBE level of DFT.

Output
energy above the most stable polymorph in this dataset: 0.0 meV per atom
ΔH_f (0 K): 0.913 eV/atom
uncorrected energy: -7.6392 eV/atom
SG: Pm-3m (221)

```
Nb3RuAu
1.0
4.776 0.000 0.000
0.000 4.776 0.000
0.000 0.000 4.776
Nb Ru Au
3 1 1
Cartesian
0.000 0.000 2.388
0.000 2.388 0.000
2.388 0.000 0.000
0.000 0.000 0.000
2.388 2.388 2.388
```

(10)
Computed, not measured: crystalline NbRu2Au at its relaxed geometry at the PBE level of DFT.

Output
energy above the most stable polymorph in this dataset: 140.0 meV per atom
ΔH_f (0 K): 0.042 eV/atom
uncorrected energy: -7.9326 eV/atom
SG: P4/mmm (123)

```
NbRu2Au
1.0
-0.257 0.892 -3.142
0.498 -3.104 -0.922
-5.904 -1.005 0.197
Nb Ru Au
1 2 1
Cartesian
0.120 -1.106 -2.032
-1.391 -0.237 0.047
-4.513 -0.768 0.151
-2.831 -1.608 -1.933
```

(11)
Computed, not measured: crystalline NbRu2Au at its relaxed geometry at the PBE level of DFT.

Output
energy above the most stable polymorph in this dataset: 647.4 meV per atom
ΔH_f (0 K): 0.550 eV/atom
uncorrected energy: -7.4252 eV/atom
SG: I-42d (122)

```
NbRu2Au
1.0
-3.329 -1.776 -1.071
0.360 -2.490 3.009
-6.204 3.541 6.229
Nb Ru Au
2 4 2
Cartesian
-1.485 -2.133 0.969
-3.664 -0.541 5.104
-1.831 -0.941 3.275
-3.497 -0.488 1.293
-5.757 0.989 5.479
-7.261 -1.010 6.287
0.000 0.000 0.000
-5.509 -0.184 3.063
```

(12)
Computed, not measured: crystalline NbRuAu at its relaxed geometry at the PBE level of DFT.

Output
energy above the most stable polymorph in this dataset: 0.0 meV per atom
ΔH_f (0 K): -0.147 eV/atom
uncorrected energy: -7.6875 eV/atom
SG: Cmcm (63)

```
NbRuAu
1.0
3.039 0.000 -0.566
0.000 4.439 0.000
-0.181 0.000 7.466
Au Ru Nb
2 2 2
Cartesian
0.605 3.329 3.248
2.252 1.110 3.652
1.685 3.329 0.608
1.172 1.110 6.292
2.615 3.329 5.600
0.242 1.110 1.300
```

(13)
Computed, not measured: crystalline Nb2Ru2Au at its relaxed geometry at the PBE level of DFT.

Output
energy above the most stable polymorph in this dataset: 0.0 meV per atom
ΔH_f (0 K): -0.134 eV/atom
uncorrected energy: -8.5272 eV/atom
SG: P4/mbm (127)

```
Nb2Ru2Au
1.0
-5.831 4.215 -1.866
-3.051 -5.784 -3.533
-1.421 -0.825 2.577
Nb Ru Au
4 4 2
Cartesian
-3.667 -3.557 -1.348
-6.636 1.164 -1.474
-7.125 -2.478 -2.909
-3.178 0.084 0.087
-4.139 1.892 -1.677
-6.973 -0.054 -3.862
-4.743 -3.460 -3.722
-1.908 -1.515 -1.537
0.000 0.000 0.000
-4.441 -0.784 -2.699
```

(14)
Computed, not measured: crystalline NbRuAu at its relaxed geometry at the PBE level of DFT.

Output
energy above the most stable polymorph in this dataset: 187.6 meV per atom
ΔH_f (0 K): 0.041 eV/atom
uncorrected energy: -7.4998 eV/atom
SG: P3m1 (156)

```
NbRuAu
1.0
2.831 0.000 0.000
0.000 4.516 0.000
0.000 -2.258 3.911
Au Nb Ru
1 1 1
Cartesian
0.962 2.258 1.304
2.056 0.000 2.608
2.645 0.000 0.000
```

(15)
Computed, not measured: crystalline Nb2Ru2Au at its relaxed geometry at the PBE level of DFT.

Output
energy above the most stable polymorph in this dataset: 177.3 meV per atom
ΔH_f (0 K): 0.044 eV/atom
uncorrected energy: -8.3499 eV/atom
SG: P4/mbm (127)

```
Nb2Ru2Au
1.0
7.623 0.000 0.000
0.000 7.623 0.000
0.000 0.000 2.970
Nb Ru Au
4 4 2
Cartesian
1.129 2.683 0.000
2.683 6.494 0.000
4.940 1.129 0.000
6.494 4.940 0.000
1.110 4.921 1.485
6.512 2.701 1.485
4.921 6.512 1.485
2.701 1.110 1.485
0.000 0.000 0.000
3.811 3.811 0.000
```

(16)
Computed, not measured: crystalline NbRu2Au at its relaxed geometry at the PBE level of DFT.

Output
energy above the most stable polymorph in this dataset: 0.0 meV per atom
ΔH_f (0 K): -0.098 eV/atom
uncorrected energy: -8.0726 eV/atom
SG: P4/mmm (123)

```
NbRu2Au
1.0
3.791 0.000 0.000
0.000 4.054 0.000
0.000 0.000 4.054
Au Ru Nb
1 2 1
Cartesian
1.895 0.000 0.000
0.000 2.027 0.000
0.000 0.000 2.027
1.895 2.027 2.027
```

(17)
Computed, not measured: crystalline ScNbRu2Au at its relaxed geometry at the PBE level of DFT.

Output
ΔH_f (0 K): 0.787 eV/atom
uncorrected energy: -6.8591 eV/atom
SG: P4/mmm (123)

```
ScNbRu2Au
1.0
4.649 0.000 0.000
0.000 5.106 0.000
0.000 0.000 4.649
Sc Ru Nb Au
1 2 1 1
Cartesian
2.324 2.553 2.324
2.324 0.000 0.000
0.000 0.000 2.324
0.000 0.000 0.000
0.000 2.553 0.000
```

(18)
Computed, not measured: crystalline NbRuAuSe2 at its relaxed geometry at the PBE level of DFT.

Output
formation energy (no corrections): 0.780 eV/atom
uncorrected energy: -5.1380 eV/atom
SG: P4/mmm (123)

```
NbRuAuSe2
1.0
4.732 0.000 0.000
0.000 4.960 0.000
0.000 0.000 4.732
Se Nb Au Ru
2 1 1 1
Cartesian
0.000 0.000 2.366
2.366 0.000 0.000
0.000 2.480 0.000
2.366 2.480 2.366
0.000 0.000 0.000
```

(19)
Computed, not measured: crystalline Sr2NbRuAu at its relaxed geometry at the PBE level of DFT.

Output
ΔH_f (0 K): 1.465 eV/atom
uncorrected energy: -3.7323 eV/atom
SG: P4/mmm (123)

```
Sr2NbRuAu
1.0
-2.085 5.344 -0.808
-3.265 -0.714 3.703
3.851 2.076 3.796
Sr Nb Ru Au
2 1 1 1
Cartesian
-1.042 2.672 -0.404
1.926 1.038 1.898
0.000 0.000 0.000
-0.749 3.353 3.346
-1.633 -0.357 1.852
```

(20)
Computed, not measured: crystalline NbTl2RuAu at its relaxed geometry at the PBE level of DFT.

Output
ΔH_f (0 K): 0.711 eV/atom
uncorrected energy: -4.7605 eV/atom
SG: P4/mmm (123)

```
NbTl2RuAu
1.0
5.225 0.000 0.000
0.000 4.724 0.000
0.000 0.000 5.225
Tl Ru Nb Au
2 1 1 1
Cartesian
0.000 0.000 2.612
2.612 0.000 0.000
0.000 0.000 0.000
0.000 2.362 0.000
2.612 2.362 2.612
```